This record from the Alexandria database describes ZnCuRe2 after structural relaxation. The functional is PBE-GGA.

a b c (Å): 5.542 5.542 5.542
angles (deg): 101.87 101.87 126.05
Atoms (fractional coordinates):
1 Zn 0.000 0.000 0.000
2 Zn 0.750 0.250 0.500
3 Cu 0.250 0.750 0.500
4 Cu 0.500 0.500 0.000
5 Re 0.147 0.625 0.022
6 Re 0.375 0.397 0.522
7 Re 0.603 0.125 0.978
8 Re 0.875 0.853 0.478

E_form = 390 kJ/mol of formula units
Crystal system = tetragonal